Here is an optimized crystal structure of Hf2Zn2N from the Alexandria database. Energies are from PBE.

```
data_Hf2Zn2N
_chemical_formula_sum 'Hf2 Zn2 N1'
_cell_length_a 4.3668
_cell_length_b 4.3668
_cell_length_c 4.1584
_cell_angle_alpha 90.00
_cell_angle_beta 90.00
_cell_angle_gamma 90.00
_symmetry_space_group_name_H-M 'P 4/m m m'
_symmetry_Int_Tables_number 123
_symmetry_space_group_name_Hall '-P 4 2'
loop_
_atom_site_label
_atom_site_fract_x
_atom_site_fract_y
_atom_site_fract_z
Hf1 0.0000 0.5000 0.0000
Zn1 0.0000 0.0000 0.5000
Zn2 0.5000 0.5000 0.5000
N1 0.0000 0.0000 0.0000
```

Computed properties:
magnetic moment = 0.000 μB per formula unit
raw formation energy = -222 kJ/mol of formula units

=====

Here is an optimized crystal structure of Dy5AlTl4 from the Alexandria database. Energies are from PBE.

```
data_Dy5AlTl4
_chemical_formula_sum 'Dy5 Al1 Tl4'
_cell_length_a 3.6857
_cell_length_b 3.6857
_cell_length_c 19.5385
_cell_angle_alpha 90.00
_cell_angle_beta 90.00
_cell_angle_gamma 90.00
_symmetry_space_group_name_H-M 'P 4/m m m'
_symmetry_Int_Tables_number 123
_symmetry_space_group_name_Hall '-P 4 2'
loop_
_atom_site_label
_atom_site_fract_x
_atom_site_fract_y
_atom_site_fract_z
Dy1 0.0000 0.0000 0.0000
Dy2 0.0000 0.0000 0.2060
Dy3 0.0000 0.0000 0.4098
Al1 0.5000 0.5000 0.5000
Tl1 0.5000 0.5000 0.1032
Tl2 0.5000 0.5000 0.3072
```

Computed properties:
total DFT energy (no corrections) = -39.72 eV per cell
magnetic moment = 0.000 μB per formula unit

=====

Here is an optimized crystal structure of AgPt2Au6 from the Alexandria database. Energies are from PBE.

```
data_AgPt2Au6
_chemical_formula_sum 'Ag4 Pt8 Au24'
_cell_length_a 12.5550
_cell_length_b 8.2050
_cell_length_c 8.8848
_cell_angle_alpha 90.00
_cell_angle_beta 133.04
_cell_angle_gamma 90.00
_symmetry_space_group_name_H-M 'C 1 2/c 1'
_symmetry_Int_Tables_number 15
_symmetry_space_group_name_Hall '-C 2yc'
loop_
_atom_site_label
_atom_site_fract_x
_atom_site_fract_y
_atom_site_fract_z
Ag1 0.0000 0.1233 0.2500
Pt1 0.2075 0.1291 0.0561
Au1 0.0919 0.1345 0.6507
Au2 0.1026 0.3786 0.1504
Au3 0.1975 0.3806 0.5460
```

Computed properties:
magnetic moment = 0.000 μB per formula unit
polymorph energy (0 for the lowest one) = 0 kJ/mol of formula units